(1)
Here is CoS2BrN after structural relaxation from Alexandria via LeMat-Bulk. Energies are from GGA-PBE.

## Properties
The density of states at the Fermi level is 3.10 states/eV/cell. Its volume is 77.9 Å³/cell. As for the total magnetic moment: 0.00 μB per cell. Its uncorrected energy is -4.314 eV per atom. The value obtained for the formation energy from raw total energies is 3.79 eV per formula unit. The theoretical density comes out at 4.6 g/cm³.

Cell: 4.7666 4.7666 3.4273 Å, 90.00 90.00 90.00°
Closest atoms and distances in Å follow each position.
Positions (direct):
Co 0.0000 0.0000 0.0000  2 N 1.71
S 0.0000 0.5000 0.0000  2 Co 2.38
S 0.5000 0.0000 0.0000  2 Co 2.38
Br 0.5000 0.5000 0.5000  8 S 2.94
N 0.0000 0.0000 0.5000  2 Co 1.71


(2)
Here is PmThTcPd after structural relaxation from Alexandria via LeMat-Bulk. Energies are from GGA-PBE.

## Properties
The density of states at the Fermi level is 4.04 states/eV/cell. Its volume is 91.1 Å³/cell. The formation energy comes out at -331 meV/atom. As for the total magnetic moment: 0.00 μB per cell. Its uncorrected energy is -7.263 eV per atom. The theoretical density comes out at 10.6 g/cm³.

Cell: 5.0500 5.0500 5.0500 Å, 60.00 60.00 60.00°
Closest atoms and distances in Å follow each position.
Positions (direct):
Pm 0.0000 0.0000 0.0000  4 Tc 3.09, 4 Pd 3.09
Th 0.5000 0.5000 0.5000  4 Tc 3.09, 4 Pd 3.09
Tc 0.7500 0.7500 0.7500  4 Th 3.09, 4 Pm 3.09
Pd 0.2500 0.2500 0.2500  4 Th 3.09, 4 Pm 3.09


(3)
Here is Bi3PtBr after structural relaxation from Alexandria via LeMat-Bulk. Energies are from GGA-PBE.

## Properties
The density of states at the Fermi level is 8.30 states/eV/cell. Its volume is 167.4 Å³/cell. As for the total magnetic moment: 0.00 μB per cell. Its uncorrected energy is -3.590 eV per atom. The value obtained for the formation energy from raw total energies is 1.41 eV per formula unit. The theoretical density comes out at 8.9 g/cm³.

Cell: 5.5107 5.5107 5.5107 Å, 90.00 90.00 90.00°
Closest atoms and distances in Å follow each position.
Positions (direct):
Bi 0.0000 0.0000 0.5000  2 Pt 2.76
Bi 0.0000 0.5000 0.0000  2 Pt 2.76
Bi 0.5000 0.0000 0.0000  2 Pt 2.76
Pt 0.0000 0.0000 0.0000  6 Bi 2.76
Br 0.5000 0.5000 0.5000  12 Bi 3.90


(4)
Here is Sm2MgZn after structural relaxation from Alexandria via LeMat-Bulk. Energies are from GGA-PBE.

## Properties
The density of states at the Fermi level is 3.90 states/eV/cell. Its volume is 104.2 Å³/cell. The formation energy comes out at -180 meV/atom. As for the total magnetic moment: 0.00 μB per cell. Its uncorrected energy is -3.256 eV per atom. The theoretical density comes out at 6.2 g/cm³.

Cell: 5.2821 5.2821 5.2821 Å, 60.00 60.00 60.00°
Closest atoms and distances in Å follow each position.
Positions (direct):
Sm 0.2500 0.2500 0.2500  4 Mg 3.23, 4 Zn 3.23
Sm 0.7500 0.7500 0.7500  4 Mg 3.23, 4 Zn 3.23
Mg 0.0000 0.0000 0.0000  8 Sm 3.23
Zn 0.5000 0.5000 0.5000  8 Sm 3.23


(5)
Here is Y3TlRh8 after structural relaxation from Alexandria via LeMat-Bulk. Energies are from GGA-PBE.

## Properties
The density of states at the Fermi level is 11.70 states/eV/cell. Its volume is 214.8 Å³/cell. The formation energy comes out at -556 meV/atom. As for the total magnetic moment: 0.00 μB per cell. Its uncorrected energy is -7.270 eV per atom. The theoretical density comes out at 10.0 g/cm³.

Cell: 9.2904 9.2904 9.2904 Å, 33.26 33.26 33.26°
Closest atoms and distances in Å follow each position.
Positions (direct):
Y 0.0000 0.0000 0.0000  12 Rh 3.07-3.19, 3 Tl 3.21, 1 Y 3.38
Y 0.1284 0.1284 0.1284  12 Rh 3.11-3.14, 4 Y 3.31-3.38
Y 0.5087 0.5087 0.5087  12 Rh 3.05-3.24, 1 Tl 3.20, 3 Y 3.31
Tl 0.6304 0.6304 0.6304  12 Rh 3.11-3.16, 4 Y 3.20-3.21
Rh 0.0663 0.0663 0.5650  6 Rh 2.65-2.68
Rh 0.0663 0.5650 0.0663  6 Rh 2.65-2.68
Rh 0.0669 0.5672 0.5672  6 Rh 2.66-2.70
Rh 0.3162 0.3162 0.3162  6 Rh 2.68-2.70
Rh 0.5650 0.0663 0.0663  6 Rh 2.65-2.68
Rh 0.5672 0.0669 0.5672  6 Rh 2.66-2.70
Rh 0.5672 0.5672 0.0669  6 Rh 2.66-2.70
Rh 0.8164 0.8164 0.8164  6 Rh 2.66-2.67


(6)
Here is CaScRe2 after structural relaxation from Alexandria via LeMat-Bulk. Energies are from GGA-PBE.

## Properties
The density of states at the Fermi level is 6.55 states/eV/cell. Its volume is 73.5 Å³/cell. The formation energy comes out at 628 meV/atom. As for the total magnetic moment: 0.00 μB per cell. Its uncorrected energy is -7.679 eV per atom. The theoretical density comes out at 10.3 g/cm³.

Cell: 9.7070 9.7070 9.7070 Å, 17.66 17.66 17.66°
Closest atoms and distances in Å follow each position.
Positions (direct):
Ca 0.0000 0.0000 0.0000  6 Ca 2.98, 6 Re 3.06
Sc 0.5000 0.5000 0.5000  6 Re 2.83, 6 Sc 2.98
Re 0.2449 0.2449 0.2449  3 Sc 2.83, 6 Re 2.98, 3 Ca 3.06
Re 0.7551 0.7551 0.7551  3 Sc 2.83, 6 Re 2.98, 3 Ca 3.06